# 1
Pr2CrGe5 (PBE, optimized geometry); magnetization = 2.27 μB per formula unit; uncorrected energy = -5.646 eV per atom; E_form = -0.36 eV per atom; density of states at the Fermi level = 3.72 states/eV/cell; calculated volume = 175 Å³/f.u.; mass density = 6.6 g/cm3
1.0
6.3228 -0.1053 -0.1501
-3.2046 5.4515 0.1501
-3.2046 -1.7133 5.1774
Pr Cr Ge
2 1 5
direct
0.5000 0.2362 0.7362 Pr
0.5000 0.7362 0.2362 Pr
0.0000 0.0080 0.0080 Cr
0.4312 0.7069 0.7069 Ge
0.0000 0.7069 0.2757 Ge
0.0000 0.2757 0.7069 Ge
0.5688 0.2757 0.2757 Ge
0.0000 0.2765 0.2765 Ge


# 2
CrGe2Pt2 (PBE, optimized geometry); magnetization = 4.24 μB per formula unit; uncorrected energy = -6.231 eV per atom; E_form = -0.04 eV per atom; density of states at the Fermi level = 3.11 states/eV/cell; calculated volume = 90 Å³/f.u.; mass density = 10.8 g/cm3; E above lowest polymorph = 0 meV/atom
1.0
4.2627 0.0000 0.0000
0.0000 4.2627 0.0000
2.1314 2.1314 4.9532
Cr Ge Pt
1 2 2
direct
0.0000 0.0000 0.0000 Cr
0.3804 0.3804 0.2391 Ge
0.6196 0.6196 0.7609 Ge
0.7500 0.2500 0.5000 Pt
0.2500 0.7500 0.5000 Pt


# 3
Cr2GePt2 (PBE, optimized geometry); magnetization = 5.96 μB per formula unit; uncorrected energy = -7.163 eV per atom; E_form = 0.03 eV per atom; density of states at the Fermi level = 11.19 states/eV/cell; calculated volume = 80 Å³/f.u.; mass density = 11.8 g/cm3
1.0
-0.2617 6.6202 -3.4379
-3.0106 -3.2412 -6.0122
-2.6159 0.4507 1.0669
Cr Ge Pt
4 2 4
direct
0.1643 0.6643 0.5000 Cr
0.6643 0.8357 0.5000 Cr
0.8357 0.3357 0.5000 Cr
0.3357 0.1643 0.5000 Cr
0.0000 0.0000 0.0000 Ge
0.5000 0.5000 0.0000 Ge
0.3665 0.8665 0.0000 Pt
0.8665 0.6335 0.0000 Pt
0.6335 0.1335 0.0000 Pt
0.1335 0.3665 0.0000 Pt